<a>
The following is a PBE-GGA calculation of NdNi4Ir after structural relaxation, from Alexandria.

```
NdNi4Ir
1.0
-1.278 -3.260 -4.865
4.267 -1.132 -4.055
2.208 -5.544 -0.558
Ni Nd Ir
4 1 1
direct
0.594 0.594 0.594 Ni
0.594 0.217 0.594 Ni
0.217 0.594 0.594 Ni
0.594 0.594 0.217 Ni
0.750 0.750 0.750 Nd
0.000 0.000 0.000 Ir
```

Output
Space-group type: F-43m, No. 216
Theoretical density: 6229 kg/m3
Size of the total moment: 0.386 μB/atom

***

<b>
The following is a PBE-GGA calculation of NdNi4Ir after structural relaxation, from Alexandria.

```
NdNi4Ir
1.0
4.945 0.000 0.000
2.472 4.282 0.000
2.472 1.427 4.037
Ir Nd Ni
1 1 4
direct
0.250 0.250 0.250 Ir
0.000 0.000 0.000 Nd
0.623 0.623 0.623 Ni
0.623 0.623 0.131 Ni
0.131 0.623 0.623 Ni
0.623 0.131 0.623 Ni
```

Output
Space-group type: F-43m, No. 216
Theoretical density: 11096 kg/m3
Size of the total moment: 0.335 μB/atom

***

Computed energies relative to the best structure, in meV per atom: <a> 2088; <b> 0

***

<a>
The following is a PBE-GGA calculation of NdNi3Ir2 after structural relaxation, from Alexandria.

```
NdNi3Ir2
1.0
5.116 0.000 0.000
0.000 6.161 -1.025
0.000 0.233 6.242
Ni Ir Nd
6 4 2
direct
0.750 0.075 0.452 Ni
0.250 0.938 0.938 Ni
0.750 0.452 0.075 Ni
0.750 0.062 0.062 Ni
0.250 0.548 0.925 Ni
0.250 0.925 0.548 Ni
0.000 0.776 0.224 Ir
0.500 0.776 0.224 Ir
0.000 0.224 0.776 Ir
0.500 0.224 0.776 Ir
0.250 0.303 0.303 Nd
0.750 0.697 0.697 Nd
```

Output
Space-group type: Cmcm, No. 63
Theoretical density: 11822 kg/m3
Size of the total moment: 0.000 μB/atom

***

<b>
The following is a PBE-GGA calculation of NdNi3Ir2 after structural relaxation, from Alexandria.

```
NdNi3Ir2
1.0
-1.593 2.467 4.706
-4.206 -2.098 2.945
2.424 -3.716 6.038
Ni Nd Ir
6 2 4
direct
0.739 0.286 0.688 Ni
0.286 0.739 0.688 Ni
0.261 0.714 0.312 Ni
0.714 0.714 0.312 Ni
0.714 0.261 0.312 Ni
0.286 0.286 0.688 Ni
0.213 0.213 0.361 Nd
0.787 0.787 0.639 Nd
0.500 0.000 0.000 Ir
0.000 0.000 0.000 Ir
0.000 0.500 0.000 Ir
0.500 0.500 0.000 Ir
```

Output
Space-group type: R-3m, No. 166
Theoretical density: 12968 kg/m3
Size of the total moment: 0.000 μB/atom

***

Computed energies relative to the best structure, in meV per atom: <a> 0; <b> 205

***

<a>
The following is a PBE-GGA calculation of Nd2Ni3Ir after structural relaxation, from Alexandria.

```
Nd2Ni3Ir
1.0
4.606 -0.135 -2.420
-2.927 4.298 -0.223
-0.167 0.161 5.280
Ni Nd Ir
3 2 1
direct
0.000 0.000 0.500 Ni
0.500 0.000 0.500 Ni
0.500 0.500 0.500 Ni
0.751 0.375 0.126 Nd
0.249 0.625 0.874 Nd
0.000 0.000 0.000 Ir
```

Output
Space-group type: R-3m, No. 166
Theoretical density: 10694 kg/m3
Size of the total moment: 0.000 μB/atom

***

<b>
The following is a PBE-GGA calculation of Nd2Ni3Ir after structural relaxation, from Alexandria.

```
Nd2Ni3Ir
1.0
-3.526 -1.113 2.365
0.087 -4.773 -2.118
4.703 1.356 3.577
Nd Ni Ir
2 3 1
direct
0.316 0.816 0.631 Nd
0.684 0.184 0.369 Nd
0.384 0.384 0.768 Ni
0.616 0.616 0.232 Ni
0.000 0.000 0.000 Ni
0.000 0.500 0.000 Ir
```

Output
Space-group type: Immm, No. 71
Theoretical density: 9494 kg/m3
Size of the total moment: 0.000 μB/atom

***

Computed energies relative to the best structure, in meV per atom: <a> 0; <b> 364

***

<a>
The following is a PBE-GGA calculation of TbNdNiIr after structural relaxation, from Alexandria.

```
TbNdNiIr
1.0
-3.292 -2.313 2.826
0.251 -4.876 0.578
1.372 -1.896 4.324
Ni Ir Nd Tb
1 1 1 1
direct
0.250 0.250 0.250 Ni
0.750 0.750 0.750 Ir
0.000 0.000 0.000 Nd
0.500 0.500 0.500 Tb
```

Output
Space-group type: F-43m, No. 216
Theoretical density: 10947 kg/m3
Size of the total moment: 0.000 μB/atom

***

<b>
The following is a PBE-GGA calculation of TbNdNiIr after structural relaxation, from Alexandria.

```
TbNdNiIr
1.0
3.950 0.000 0.000
0.000 4.111 0.000
-1.975 0.000 5.421
Nd Ir Ni Tb
1 1 1 1
direct
0.144 0.000 0.288 Nd
0.423 0.000 0.846 Ir
0.572 0.500 0.144 Ni
0.861 0.500 0.722 Tb
```

Output
Space-group type: Amm2, No. 38
Theoretical density: 10454 kg/m3
Size of the total moment: 0.000 μB/atom

***

Computed energies relative to the best structure, in meV per atom: <a> 61; <b> 0

***

<a>
The following is a PBE-GGA calculation of NdNpIr after structural relaxation, from Alexandria.

```
NdNpIr
1.0
3.886 0.000 0.000
1.943 6.433 -1.304
1.943 0.411 5.436
Np Nd Ir
2 2 2
direct
0.078 0.044 0.801 Np
0.922 0.956 0.199 Np
0.216 0.364 0.205 Nd
0.784 0.636 0.795 Nd
0.557 0.272 0.613 Ir
0.443 0.728 0.387 Ir
```

Output
Space-group type: C2/m, No. 12
Theoretical density: 13803 kg/m3
Size of the total moment: 0.001 μB/atom

***

<b>
The following is a PBE-GGA calculation of NdNpIr after structural relaxation, from Alexandria.

```
NdNpIr
1.0
4.324 0.000 0.000
0.000 4.528 0.000
0.000 -2.264 3.921
Nd Ir Np
1 1 1
direct
0.703 0.667 0.333 Nd
0.059 0.000 0.000 Ir
0.239 0.333 0.667 Np
```

Output
Space-group type: P3m1, No. 156
Theoretical density: 12405 kg/m3
Size of the total moment: 1.444 μB/atom

***

Computed energies relative to the best structure, in meV per atom: <a> 0; <b> 300

***

<a>
The following is a PBE-GGA calculation of NdIrO4 after structural relaxation, from Alexandria.

```
NdIrO4
1.0
-2.272 2.504 4.366
-7.017 -1.953 -2.532
1.588 -6.027 4.284
O Nd Ir
16 4 4
direct
0.862 0.837 0.949 O
0.138 0.163 0.051 O
0.415 0.944 0.802 O
0.525 0.617 0.674 O
0.499 0.685 0.127 O
0.999 0.315 0.373 O
0.475 0.383 0.326 O
0.585 0.056 0.198 O
0.085 0.944 0.302 O
0.638 0.837 0.449 O
0.915 0.056 0.698 O
0.001 0.685 0.627 O
0.025 0.383 0.826 O
0.975 0.617 0.174 O
0.501 0.315 0.873 O
0.362 0.163 0.551 O
0.780 0.344 0.101 Nd
0.220 0.656 0.899 Nd
0.720 0.344 0.601 Nd
0.280 0.656 0.399 Nd
0.729 0.841 0.703 Ir
0.229 0.159 0.797 Ir
0.271 0.159 0.297 Ir
0.771 0.841 0.203 Ir
```

Output
Space-group type: P2_1/c, No. 14
Theoretical density: 8389 kg/m3
Size of the total moment: 0.139 μB/atom

***

<b>
The following is a PBE-GGA calculation of NdIrO4 after structural relaxation, from Alexandria.

```
NdIrO4
1.0
3.649 0.000 -0.001
0.000 3.649 -0.002
0.002 0.003 5.415
O Nd Ir
4 1 1
direct
0.501 0.997 0.285 O
0.501 0.997 0.711 O
0.001 0.497 0.711 O
0.001 0.497 0.285 O
0.501 0.497 0.998 Nd
0.001 0.997 0.498 Ir
```

Output
Space-group type: P4/mmm, No. 123
Theoretical density: 9221 kg/m3
Size of the total moment: 0.000 μB/atom

***

Computed energies relative to the best structure, in meV per atom: <a> 0; <b> 317

***

<a>
The following is a PBE-GGA calculation of NdP2Ir after structural relaxation, from Alexandria.

```
NdP2Ir
1.0
-1.914 -0.504 3.474
-3.039 -1.739 -1.931
4.607 -3.215 -0.224
P Ir Nd
2 1 1
direct
0.845 0.505 0.476 P
0.597 0.257 0.980 P
0.472 0.631 0.728 Ir
0.221 0.881 0.228 Nd
```

Output
Space-group type: I-4m2, No. 119
Theoretical density: 8511 kg/m3
Size of the total moment: 0.000 μB/atom

***

<b>
The following is a PBE-GGA calculation of NdP2Ir after structural relaxation, from Alexandria.

```
NdP2Ir
1.0
-0.371 -3.650 1.401
-0.227 -3.040 -2.476
5.257 -2.737 -0.235
P Nd Ir
2 1 1
direct
0.275 0.275 0.176 P
0.725 0.725 0.824 P
0.500 0.500 0.500 Nd
0.000 0.000 0.000 Ir
```

Output
Space-group type: R-3m, No. 166
Theoretical density: 9036 kg/m3
Size of the total moment: 0.000 μB/atom

***

Computed energies relative to the best structure, in meV per atom: <a> 52; <b> 0

***

<a>
The following is a PBE-GGA calculation of NdPaIr2 after structural relaxation, from Alexandria.

```
NdPaIr2
1.0
-3.605 -0.826 -1.508
-1.086 -3.794 -0.615
-4.161 -1.828 5.662
Nd Pa Ir
1 1 2
direct
0.500 0.500 0.500 Nd
0.000 0.000 0.000 Pa
0.742 0.742 0.775 Ir
0.258 0.258 0.225 Ir
```

Output
Space-group type: R-3m, No. 166
Theoretical density: 13265 kg/m3
Size of the total moment: 0.000 μB/atom

***

<b>
The following is a PBE-GGA calculation of NdPaIr2 after structural relaxation, from Alexandria.

```
NdPaIr2
1.0
-3.912 -0.101 -0.261
-1.880 -3.442 0.050
-2.417 -0.812 7.079
Ir Nd Pa
2 1 1
direct
0.075 0.075 0.774 Ir
0.259 0.259 0.224 Ir
0.497 0.497 0.508 Nd
0.669 0.669 0.994 Pa
```

Output
Space-group type: R3m, No. 160
Theoretical density: 13196 kg/m3
Size of the total moment: 0.000 μB/atom

***

<c>
The following is a PBE-GGA calculation of NdPaIr2 after structural relaxation, from Alexandria.

```
NdPaIr2
1.0
4.330 0.000 0.000
0.000 5.758 0.000
0.000 0.000 7.653
Ir Nd Pa
4 2 2
direct
0.750 0.502 0.773 Ir
0.250 0.498 0.227 Ir
0.250 0.002 0.227 Ir
0.750 0.998 0.773 Ir
0.750 0.750 0.419 Nd
0.250 0.250 0.581 Nd
0.750 0.250 0.082 Pa
0.250 0.750 0.918 Pa
```

Output
Space-group type: Pmmn, No. 59
Theoretical density: 13223 kg/m3
Size of the total moment: 0.000 μB/atom

***

Computed energies relative to the best structure, in meV per atom: <a> 80; <b> 139; <c> 0

***

<a>
The following is a PBE-GGA calculation of Nd2IrPb after structural relaxation, from Alexandria.

```
Nd2IrPb
1.0
3.594 0.000 0.000
0.000 3.594 0.000
0.000 0.000 8.283
Nd Ir Pb
2 1 1
direct
0.000 0.000 0.795 Nd
0.000 0.000 0.205 Nd
0.500 0.500 0.000 Ir
0.500 0.500 0.500 Pb
```

Output
Space-group type: P4/mmm, No. 123
Theoretical density: 10679 kg/m3
Size of the total moment: 0.000 μB/atom

***

<b>
The following is a PBE-GGA calculation of Nd2IrPb after structural relaxation, from Alexandria.

```
Nd2IrPb
1.0
-0.291 3.717 -1.501
-1.956 0.625 -3.455
-8.101 2.640 2.726
Ir Pb Nd
1 1 2
direct
0.000 0.000 0.000 Ir
0.500 0.500 0.500 Pb
0.269 0.269 0.193 Nd
0.731 0.731 0.807 Nd
```

Output
Space-group type: R-3m, No. 166
Theoretical density: 9452 kg/m3
Size of the total moment: 0.000 μB/atom

***

Computed energies relative to the best structure, in meV per atom: <a> 0; <b> 80

***

<a>
The following is a PBE-GGA calculation of Nd4IrPb2 after structural relaxation, from Alexandria.

```
Nd4IrPb2
1.0
-6.682 -0.827 1.507
-0.119 -5.719 -3.666
6.879 -4.367 6.588
Pb Nd Ir
4 8 2
direct
0.747 0.750 0.549 Pb
0.253 0.250 0.451 Pb
0.360 0.250 0.949 Pb
0.640 0.750 0.051 Pb
0.925 0.250 0.607 Nd
0.556 0.996 0.745 Nd
0.444 0.004 0.255 Nd
0.075 0.750 0.393 Nd
0.556 0.504 0.745 Nd
0.444 0.496 0.255 Nd
0.114 0.750 0.885 Nd
0.886 0.250 0.115 Nd
0.082 0.750 0.135 Ir
0.918 0.250 0.865 Ir
```

Output
Space-group type: P2_1/m, No. 11
Theoretical density: 8954 kg/m3
Size of the total moment: 0.000 μB/atom

***

<b>
The following is a PBE-GGA calculation of Nd4IrPb2 after structural relaxation, from Alexandria.

```
Nd4IrPb2
1.0
-1.440 -2.709 -3.547
-0.022 -6.176 1.625
-7.853 -1.730 1.410
Nd Pb Ir
4 2 1
direct
0.332 0.277 0.059 Nd
0.930 0.791 0.349 Nd
0.668 0.723 0.941 Nd
0.070 0.209 0.651 Nd
0.351 0.638 0.660 Pb
0.649 0.362 0.340 Pb
0.000 0.000 0.000 Ir
```

Output
Space-group type: C2/m, No. 12
Theoretical density: 9147 kg/m3
Size of the total moment: 0.000 μB/atom

***

Computed energies relative to the best structure, in meV per atom: <a> 84; <b> 0

***

<a>
The following is a PBE-GGA calculation of Nd4IrPb after structural relaxation, from Alexandria.

```
Nd4IrPb
1.0
-1.460 -3.968 -4.561
8.773 0.421 0.401
-3.612 -3.550 6.697
Nd Ir Pb
8 2 2
direct
0.219 0.289 0.352 Nd
0.305 0.650 0.858 Nd
0.633 0.063 0.352 Nd
0.367 0.937 0.648 Nd
0.781 0.711 0.648 Nd
0.053 0.208 0.858 Nd
0.695 0.350 0.142 Nd
0.947 0.792 0.142 Nd
0.749 0.999 0.998 Ir
0.251 0.001 0.002 Ir
0.624 0.374 0.749 Pb
0.376 0.626 0.251 Pb
```

Output
Space-group type: C2/c, No. 15
Theoretical density: 8817 kg/m3
Size of the total moment: 0.000 μB/atom

***

<b>
The following is a PBE-GGA calculation of Nd4IrPb after structural relaxation, from Alexandria.

```
Nd4IrPb
1.0
8.716 0.000 5.032
2.905 8.218 5.032
0.000 0.000 10.065
Nd Pb Ir
16 4 4
direct
0.940 0.940 0.560 Nd
0.196 0.804 0.804 Nd
0.804 0.196 0.804 Nd
0.402 0.402 0.795 Nd
0.560 0.940 0.940 Nd
0.560 0.560 0.940 Nd
0.940 0.560 0.940 Nd
0.196 0.196 0.804 Nd
0.940 0.560 0.560 Nd
0.402 0.795 0.402 Nd
0.804 0.196 0.196 Nd
0.196 0.804 0.196 Nd
0.560 0.940 0.560 Nd
0.795 0.402 0.402 Nd
0.402 0.402 0.402 Nd
0.804 0.804 0.196 Nd
0.517 0.161 0.161 Pb
0.161 0.161 0.161 Pb
0.161 0.517 0.161 Pb
0.161 0.161 0.517 Pb
0.608 0.608 0.608 Ir
0.176 0.608 0.608 Ir
0.608 0.176 0.608 Ir
0.608 0.608 0.176 Ir
```

Output
Space-group type: F-43m, No. 216
Theoretical density: 8996 kg/m3
Size of the total moment: 0.000 μB/atom

***

Computed energies relative to the best structure, in meV per atom: <a> 25; <b> 0